Cs3Sn2Br3Cl4: optimized geometry, PBE.

Results
- Energy: -3.354 eV per atom

abc: 5.9013 29.2363 5.6322
angles: 90.00 90.00 90.00
Last column: nearest neighbours and their distance in Å.
Space group Imm2 (No. 44)
One atom of each set of equivalent atoms:
Cs 0.0000 0.0000 0.0000 (multiplicity 2)  8 Br 4.03-4.08, 4 Cl 4.27
Cs 0.0000 0.1837 0.9980 (multiplicity 4)  3 Cl 3.45-3.73, 2 Br 3.75
Sn 0.0000 0.3956 0.9999 (multiplicity 4)  3 Cl 2.75-2.84, 3 Br 2.95-3.05
Br 0.0000 0.0991 0.4987 (multiplicity 4)  2 Sn 2.95
Br 0.0000 0.5000 0.0001 (multiplicity 2)  2 Sn 3.05
Cl 0.0000 0.3017 0.0004 (multiplicity 4)  1 Sn 2.75
Cl 0.0000 0.3944 0.4965 (multiplicity 4)  2 Sn 2.80-2.84